(1)
EuAl12O19: relaxed, PBEsol.

```
EuAl12O19
1.0
5.585 0.000 0.000
-2.793 4.837 0.000
0.000 0.000 21.938
Al O Eu
24 38 2
direct
0.333 0.667 0.729
0.337 0.169 0.366
0.000 0.000 0.257
0.169 0.831 0.866
0.667 0.333 0.229
0.333 0.667 0.286
0.667 0.333 0.067
0.168 0.335 0.148
0.663 0.831 0.866
0.831 0.169 0.366
0.665 0.832 0.148
0.000 0.000 0.757
0.169 0.337 0.866
0.832 0.665 0.648
0.832 0.168 0.648
0.335 0.168 0.648
0.667 0.333 0.948
0.000 0.000 0.501
0.000 0.000 0.001
0.168 0.832 0.148
0.333 0.667 0.567
0.831 0.663 0.366
0.667 0.333 0.786
0.333 0.667 0.448
0.310 0.155 0.206
0.364 0.182 0.007
0.000 0.000 0.109
0.502 0.498 0.609
0.155 0.310 0.706
0.818 0.182 0.007
0.309 0.154 0.810
0.497 0.503 0.906
0.182 0.364 0.507
0.846 0.691 0.810
0.690 0.845 0.706
0.182 0.818 0.507
0.498 0.995 0.109
0.503 0.497 0.406
0.845 0.155 0.206
0.503 0.005 0.406
0.005 0.503 0.906
0.818 0.636 0.007
0.497 0.995 0.906
0.000 0.000 0.408
0.154 0.309 0.310
0.005 0.502 0.109
0.995 0.497 0.406
0.667 0.333 0.703
0.995 0.498 0.609
0.155 0.845 0.706
0.845 0.690 0.206
0.502 0.005 0.609
0.636 0.818 0.507
0.000 0.000 0.609
0.000 0.000 0.908
0.154 0.846 0.310
0.333 0.667 0.812
0.667 0.333 0.312
0.846 0.154 0.810
0.333 0.667 0.203
0.691 0.846 0.310
0.498 0.502 0.109
0.333 0.667 0.009
0.667 0.333 0.509
```

Fermi-level density of states: 23.621 states/eV/cell
Uncorrected formation energy: -3.074 eV per atom
Total moment: 13.99 μB per cell

=====

(2)
Mg3Sc: relaxed, PBEsol.

```
Mg3Sc
1.0
-1.299 2.496 1.301
1.839 -1.129 4.002
5.218 3.456 -1.422
Mg Sc
3 1
direct
0.500 0.500 0.248
0.500 0.500 0.752
0.000 0.000 0.500
0.000 0.000 0.000
```

Energy relative to the elements: 0.01 eV/atom
Fermi-level density of states: 3.567 states/eV/cell
Total moment: 0.00 μB per cell

=====

(3)
Rb2In3: relaxed, PBEsol.

```
Rb2In3
1.0
-4.687 -4.857 -1.068
3.365 -2.016 -5.596
4.849 -1.553 7.648
Rb In
4 6
direct
0.250 0.750 0.500
0.750 0.250 0.500
0.610 0.610 0.220
0.390 0.390 0.780
0.000 0.296 0.000
0.149 0.149 0.298
0.851 0.851 0.702
0.704 0.000 0.000
0.296 0.000 0.000
0.000 0.704 0.000
```

Energy relative to the elements: -0.15 eV/atom
Fermi-level density of states: 0.837 states/eV/cell
Total moment: 0.00 μB per cell

=====

(4)
CuHgIr3: relaxed, PBEsol.

```
CuHgIr3
1.0
-0.225 -4.776 0.837
4.818 -0.126 0.574
-0.543 0.858 4.746
Ir Cu Hg
3 1 1
direct
0.000 0.000 0.500
0.500 0.000 0.000
0.000 0.500 0.000
0.500 0.500 0.500
0.000 0.000 0.000
```

Energy relative to the elements: 2.89 eV/atom
Fermi-level density of states: 11.532 states/eV/cell
Total moment: 2.26 μB per cell

=====

- What is the Fermi-level density of states in the fourth record?
  11.532 states/eV/cell

=====

- Which value of total moment does entry 2 give?
  0.00 μB per cell

=====

- Number 3 is which compound?
  Rb2In3